RbMoS2O8 after structural relaxation, computed with PBE+U.

abc: 5.016 5.016 8.700
angles: 90.00 90.00 120.00
Atoms (fractional coordinates):
Rb1 0.000 0.000 0.000
Mo1 0.000 0.000 0.500
S1 0.333 0.667 0.709
S2 0.667 0.333 0.291
O1 0.072 0.369 0.651
O2 0.298 0.928 0.651
O3 0.333 0.667 0.877
O4 0.369 0.298 0.349
O5 0.631 0.702 0.651
O6 0.667 0.333 0.123
O7 0.702 0.072 0.349
O8 0.928 0.631 0.349

Calculated values
Calculated density, Mg/m³: 3.27
Space-group type: No. 147
Raw total energy, eV per atom: -6.298
Total moment, Bohr magnetons per cell: 3.0